# ZnCo2RhN (PBE-GGA, optimized geometry)
data_ZnCo2RhN
_chemical_formula_sum 'Zn1 Co2 Rh1 N1'
_cell_length_a 3.7342
_cell_length_b 3.7342
_cell_length_c 4.1100
_cell_angle_alpha 90.00
_cell_angle_beta 90.00
_cell_angle_gamma 90.00
_space_group_name_H-M_alt 'P 4/m m m'
_space_group_IT_number 123
_space_group_name_Hall '-P 4 2'
loop_
_atom_site_label
_atom_site_fract_x
_atom_site_fract_y
_atom_site_fract_z
Zn1 0.0000 0.0000 0.0000
Co1 0.0000 0.5000 0.5000
Rh1 0.5000 0.5000 0.0000
N1 0.5000 0.5000 0.5000
# - Magnetic moment: 1.940 μB/cell
# - Energy relative to the elements, uncorrected: -57.7 meV per atom



# NdBe2GaAu4 (PBE-GGA, optimized geometry)
data_NdBe2GaAu4
_chemical_formula_sum 'Nd3 Be6 Ga3 Au12'
_cell_length_a 4.1706
_cell_length_b 4.1706
_cell_length_c 29.0145
_cell_angle_alpha 90.00
_cell_angle_beta 90.00
_cell_angle_gamma 120.00
_space_group_name_H-M_alt 'R -3 m'
_space_group_IT_number 166
_space_group_name_Hall '-R 3 2"'
loop_
_atom_site_label
_atom_site_fract_x
_atom_site_fract_y
_atom_site_fract_z
Nd1 0.0000 0.0000 0.0000
Be1 0.0000 0.0000 0.2469
Ga1 0.0000 0.0000 0.5000
Au1 0.0000 0.0000 0.1238
Au2 0.0000 0.0000 0.4003
# - Energy relative to the elements: -0.275 eV per atom
# - Magnetic moment: 0.000 μB/cell



# PaSe2S6 (PBE-GGA, optimized geometry)
data_PaSe2S6
_chemical_formula_sum 'Pa1 Se2 S6'
_cell_length_a 4.0047
_cell_length_b 7.6761
_cell_length_c 10.2056
_cell_angle_alpha 69.41
_cell_angle_beta 89.80
_cell_angle_gamma 81.96
_space_group_name_H-M_alt 'P -1'
_space_group_IT_number 2
loop_
_space_group_symop_operation_xyz
'x,y,z'
'-x,-y,-z'
loop_
_atom_site_label
_atom_site_fract_x
_atom_site_fract_y
_atom_site_fract_z
Pa1 0.0000 0.0000 0.0000
Se1 0.3967 0.4996 0.2876
S1 0.0124 0.6126 0.1121
S2 0.1187 0.3792 0.4805
S3 0.4808 0.0390 0.1518
# - Magnetic moment: 0.000 μB/cell
# - Energy relative to the elements, uncorrected: -424.2 meV per atom



# TiW (PBE-GGA, optimized geometry)
data_TiW
_chemical_formula_sum 'Ti2 W2'
_cell_length_a 3.1760
_cell_length_b 4.5670
_cell_length_c 4.4553
_cell_angle_alpha 90.00
_cell_angle_beta 90.00
_cell_angle_gamma 90.00
_space_group_name_H-M_alt 'C m m m'
_space_group_IT_number 65
_space_group_name_Hall '-C 2 2'
loop_
_atom_site_label
_atom_site_fract_x
_atom_site_fract_y
_atom_site_fract_z
Ti1 0.0000 0.0000 0.0000
W1 0.0000 0.5000 0.5000
# - Energy relative to the elements: -0.019 eV per atom
# - Magnetic moment: 0.000 μB/cell



# Th3H3Au (PBE-GGA, optimized geometry)
data_Th3H3Au
_chemical_formula_sum 'Th6 H6 Au2'
_cell_length_a 6.4329
_cell_length_b 6.4329
_cell_length_c 6.4329
_cell_angle_alpha 90.00
_cell_angle_beta 90.00
_cell_angle_gamma 90.00
_space_group_name_H-M_alt 'P m -3 n'
_space_group_IT_number 223
_space_group_name_Hall '-P 4n 2 3'
loop_
_atom_site_label
_atom_site_fract_x
_atom_site_fract_y
_atom_site_fract_z
Th1 0.0000 0.2500 0.5000
H1 0.0000 0.5000 0.2500
Au1 0.0000 0.0000 0.0000
# - Final energy: -74.83 eV for the cell shown
# - Magnetic moment: 0.000 μB/cell



# DyErTeO2 (PBE-GGA, optimized geometry)
data_DyErTeO2
_chemical_formula_sum 'Dy2 Er2 Te2 O4'
_cell_length_a 6.7682
_cell_length_b 4.0587
_cell_length_c 7.7077
_cell_angle_alpha 90.00
_cell_angle_beta 106.55
_cell_angle_gamma 90.00
_space_group_name_H-M_alt 'P 1 21/m 1'
_space_group_IT_number 11
loop_
_space_group_symop_operation_xyz
'x,y,z'
'-x,-y,-z'
'-x,y+1/2,-z'
'x,-y+1/2,z'
loop_
_atom_site_label
_atom_site_fract_x
_atom_site_fract_y
_atom_site_fract_z
Dy1 0.1689 0.2500 0.4222
Er1 0.1603 0.2500 0.9111
Te1 0.4527 0.7500 0.7424
O1 0.0075 0.7500 0.8798
O2 0.0193 0.7500 0.3767
# - Magnetic moment: 0.000 μB/cell
# - Energy relative to the elements, uncorrected: -2986.4 meV per atom



# Sm3Er2Hg6 (PBE-GGA, optimized geometry)
data_Sm3Er2Hg6
_chemical_formula_sum 'Sm6 Er4 Hg12'
_cell_length_a 5.1406
_cell_length_b 5.1406
_cell_length_c 26.5219
_cell_angle_alpha 90.00
_cell_angle_beta 90.00
_cell_angle_gamma 90.00
_space_group_name_H-M_alt 'I 4/m m m'
_space_group_IT_number 139
_space_group_name_Hall '-I 4 2'
loop_
_atom_site_label
_atom_site_fract_x
_atom_site_fract_y
_atom_site_fract_z
Sm1 0.0000 0.0000 0.0000
Sm2 0.0000 0.0000 0.1458
Er1 0.0000 0.0000 0.3780
Hg1 0.0000 0.0000 0.2641
Hg2 0.0000 0.5000 0.0663
# - Energy relative to the elements: -0.109 eV per atom
# - Magnetic moment: 0.000 μB/cell



# MgTcPdBr2 (PBE-GGA, optimized geometry)
data_MgTcPdBr2
_chemical_formula_sum 'Mg1 Tc1 Pd1 Br2'
_cell_length_a 4.9744
_cell_length_b 4.9744
_cell_length_c 5.1206
_cell_angle_alpha 90.00
_cell_angle_beta 90.00
_cell_angle_gamma 90.00
_space_group_name_H-M_alt 'P 4/m m m'
_space_group_IT_number 123
_space_group_name_Hall '-P 4 2'
loop_
_atom_site_label
_atom_site_fract_x
_atom_site_fract_y
_atom_site_fract_z
Mg1 0.0000 0.0000 0.0000
Tc1 0.5000 0.5000 0.5000
Pd1 0.5000 0.5000 0.0000
Br1 0.0000 0.5000 0.5000
# - Magnetic moment: 1.831 μB/cell
# - Energy relative to the elements, uncorrected: 446.8 meV per atom



# Eu2BiBr (PBE-GGA, optimized geometry)
data_Eu2BiBr
_chemical_formula_sum 'Eu8 Bi4 Br4'
_cell_length_a 8.0068
_cell_length_b 8.0068
_cell_length_c 8.0068
_cell_angle_alpha 90.00
_cell_angle_beta 90.00
_cell_angle_gamma 90.00
_space_group_name_H-M_alt 'F m -3 m'
_space_group_IT_number 225
_space_group_name_Hall '-F 4 2 3'
loop_
_atom_site_label
_atom_site_fract_x
_atom_site_fract_y
_atom_site_fract_z
Eu1 0.2500 0.2500 0.2500
Bi1 0.0000 0.0000 0.0000
Br1 0.0000 0.0000 0.5000
# - Energy above the most stable polymorph in this dataset: 1.953 kcal/mol of atoms
# - Magnetic moment: 56.000 μB/cell
# - Energy relative to the elements, uncorrected: -1176.8 meV per atom



Question: Which formula does entry 2 have?
Answer: NdBe2GaAu4



Question: Look up the magnetic moment of the first one.
Answer: 1.940 μB/cell



Question: Which of these has the highest magnetic moment?
Answer: Eu2BiBr



Question: Among the records above, which one has the highest magnetic moment?
Answer: Eu2BiBr